VASP calculation (PBE) on a relaxed structure of TbZn12Ga6.

Cell: 7.3175 7.3175 7.3175 Å, 104.90 104.90 104.90°
Last column: nearest neighbours and their distance in Å.
Positions (direct):
Zn1 0.8933 0.1067 0.5000  1 Zn 2.48, 4 Ga 2.58-2.71
Zn2 0.3760 0.3760 0.1386  4 Ga 2.71-2.80, 4 Zn 2.75-2.80
Zn3 0.8933 0.5000 0.1067  1 Zn 2.48, 4 Ga 2.58-2.71
Zn4 0.5000 0.8933 0.1067  1 Zn 2.48, 4 Ga 2.58-2.71
Zn5 0.1386 0.3760 0.3760  4 Ga 2.71-2.80, 4 Zn 2.75-2.80
Zn6 0.8614 0.6240 0.6240  4 Ga 2.71-2.80, 4 Zn 2.75-2.80
Zn7 0.6240 0.6240 0.8614  4 Ga 2.71-2.80, 4 Zn 2.75-2.80
Zn8 0.1067 0.8933 0.5000  1 Zn 2.48, 4 Ga 2.58-2.71
Zn9 0.6240 0.8614 0.6240  4 Ga 2.71-2.80, 4 Zn 2.75-2.80
Zn10 0.5000 0.1067 0.8933  1 Zn 2.48, 4 Ga 2.58-2.71
Zn11 0.1067 0.5000 0.8933  1 Zn 2.48, 4 Ga 2.58-2.71
Zn12 0.3760 0.1386 0.3760  4 Ga 2.71-2.80, 4 Zn 2.75-2.80
Ga1 0.2906 0.7238 0.2906  8 Zn 2.58-2.80
Ga2 0.7238 0.2906 0.2906  8 Zn 2.58-2.80
Ga3 0.7094 0.2762 0.7094  8 Zn 2.58-2.80
Ga4 0.2906 0.2906 0.7238  8 Zn 2.58-2.80
Ga5 0.7094 0.7094 0.2762  8 Zn 2.58-2.80
Ga6 0.2762 0.7094 0.7094  8 Zn 2.58-2.80
Tb1 0.0000 0.0000 0.0000  6 Zn 3.07

Computed properties:
The calculated formation energy is 0.045 eV per atom.

---

VASP calculation (PBE) on a relaxed structure of ReAuO2.

Cell: 4.0327 4.0327 4.0327 Å, 60.00 60.00 60.00°
Last column: nearest neighbours and their distance in Å.
Positions (direct):
Re1 0.0000 0.0000 0.0000  8 O 2.47
Au1 0.5000 0.5000 0.5000  8 O 2.47
O1 0.7500 0.7500 0.7500  4 Au 2.47, 4 Re 2.47
O2 0.2500 0.2500 0.2500  4 Au 2.47, 4 Re 2.47

Computed properties:
The value obtained for the total energy is -22.75 eV for the cell shown.

---

VASP calculation (PBE) on a relaxed structure of Li2PrTl2Ag2.

Cell: 4.8684 4.8684 8.1274 Å, 72.57 72.57 60.00°
Last column: nearest neighbours and their distance in Å.
Positions (direct):
Pr1 0.0000 0.0000 0.0000  6 Tl 3.22, 2 Li 3.29
Ag1 0.4365 0.4365 0.6905  1 Ag 2.91, 3 Tl 2.92, 3 Li 2.96
Ag2 0.5635 0.5635 0.3095  1 Ag 2.91, 3 Tl 2.92, 3 Li 2.96
Li1 0.1436 0.1436 0.5692  1 Tl 2.78, 3 Ag 2.96, 3 Li 3.00
Li2 0.8564 0.8564 0.4308  1 Tl 2.78, 3 Ag 2.96, 3 Li 3.00
Tl1 0.2651 0.2651 0.2048  1 Li 2.78, 3 Ag 2.92
Tl2 0.7349 0.7349 0.7952  1 Li 2.78, 3 Ag 2.92

Computed properties:
The calculated formation energy is -0.195 eV per atom.

---

VASP calculation (PBE) on a relaxed structure of Rb2InBr2.

Cell: 9.3903 9.3903 4.3960 Å, 90.00 90.00 90.00°
Last column: nearest neighbours and their distance in Å.
Positions (direct):
Br1 0.6520 0.1520 0.0000  6 Rb 3.42-3.60, 2 In 3.57
Br2 0.8480 0.6520 0.0000  6 Rb 3.42-3.60, 2 In 3.57
Br3 0.1520 0.3480 0.0000  6 Rb 3.42-3.60, 2 In 3.57
Br4 0.3480 0.8480 0.0000  6 Rb 3.42-3.60, 2 In 3.57
Rb1 0.3489 0.1511 0.5000  6 Br 3.42-3.60
Rb2 0.6511 0.8489 0.5000  6 Br 3.42-3.60
Rb3 0.8489 0.3489 0.5000  6 Br 3.42-3.60
Rb4 0.1511 0.6511 0.5000  6 Br 3.42-3.60
In1 0.0000 0.0000 0.0000  4 Br 3.57
In2 0.5000 0.5000 0.0000  4 Br 3.57

Computed properties:
The value obtained for the total energy is -27.00 eV for the cell shown.

---

VASP calculation (PBE) on a relaxed structure of PuIrAuO6.

Cell: 5.3162 5.3162 9.7457 Å, 90.00 90.00 120.00°
Last column: nearest neighbours and their distance in Å.
Positions (direct):
Pu1 0.6667 0.3333 0.2500  6 O 2.10
Pu2 0.3333 0.6667 0.7500  6 O 2.10
O1 0.6525 0.6387 0.6344  1 Ir 2.01, 1 Pu 2.10
O2 0.3475 0.3613 0.3656  1 Ir 2.01, 1 Pu 2.10
O3 0.6387 0.9862 0.3656  1 Ir 2.01, 1 Pu 2.10
O4 0.0138 0.3613 0.1344  1 Ir 2.01, 1 Pu 2.10
O5 0.0138 0.6525 0.3656  1 Ir 2.01, 1 Pu 2.10
O6 0.3613 0.0138 0.6344  1 Ir 2.01, 1 Pu 2.10
O7 0.6525 0.0138 0.8656  1 Ir 2.01, 1 Pu 2.10
O8 0.3613 0.3475 0.8656  1 Ir 2.01, 1 Pu 2.10
O9 0.9862 0.6387 0.8656  1 Ir 2.01, 1 Pu 2.10
O10 0.6387 0.6525 0.1344  1 Ir 2.01, 1 Pu 2.10
O11 0.9862 0.3475 0.6344  1 Ir 2.01, 1 Pu 2.10
O12 0.3475 0.9862 0.1344  1 Ir 2.01, 1 Pu 2.10
Au1 0.0000 0.0000 0.0000  6 O 2.30
Au2 0.0000 0.0000 0.5000  6 O 2.30
Ir1 0.3333 0.6667 0.2500  6 O 2.01
Ir2 0.6667 0.3333 0.7500  6 O 2.01

Computed properties:
The value obtained for the total energy is -134.98 eV for the cell shown.

---

VASP calculation (PBE) on a relaxed structure of NpTl2Br8.

Cell: 10.5223 8.7695 6.2988 Å, 84.69 90.00 126.87°
Last column: nearest neighbours and their distance in Å.
Positions (direct):
Tl1 0.6057 0.2115 0.2174  5 Br 3.04-3.40
Tl2 0.3943 0.7885 0.7826  5 Br 3.04-3.40
Br1 0.7384 0.8335 0.7831  1 Np 2.67
Br2 0.2616 0.1665 0.2169  1 Np 2.67
Br3 0.6124 0.2248 0.7248  3 Tl 3.04-3.21
Br4 0.8472 0.6943 0.2915  1 Np 2.66
Br5 0.1528 0.3057 0.7085  1 Np 2.66
Br6 0.9049 0.1665 0.2169  1 Np 2.67
Br7 0.0951 0.8335 0.7831  1 Np 2.67
Br8 0.3876 0.7752 0.2752  3 Tl 3.04-3.21
Np1 0.0000 0.0000 0.0000  6 Br 2.66-2.67

Computed properties:
The value obtained for the total energy is -40.65 eV for the cell shown.

---

VASP calculation (PBE) on a relaxed structure of Be2GaNi3.

Cell: 2.6441 2.6441 8.6509 Å, 90.00 90.00 90.00°
Last column: nearest neighbours and their distance in Å.
Positions (direct):
Be1 0.5000 0.5000 0.8508  8 Ni 2.27-2.28
Be2 0.5000 0.5000 0.1492  8 Ni 2.27-2.28
Ga1 0.5000 0.5000 0.5000  8 Ni 2.54, 4 Ga 2.64
Ni1 0.0000 0.0000 0.6993  4 Be 2.28, 4 Ga 2.54
Ni2 0.0000 0.0000 0.0000  8 Be 2.27
Ni3 0.0000 0.0000 0.3007  4 Be 2.28, 4 Ga 2.54

Computed properties:
The calculated formation energy is -0.414 eV per atom.